[1]
# PBE Rb4ScBr5, relaxed
# - formation energy (no corrections) (kJ/mol of atoms) = -136.8
# - Fermi-level density of states (states/eV/f.u.) = 7.61
data_Rb4ScBr5
_chemical_formula_sum 'Rb8 Sc2 Br10'
_symmetry_space_group_name_H-M 'I 4'
_symmetry_Int_Tables_number 79
_cell_length_a 10.541
_cell_length_b 10.541
_cell_length_c 7.227
_cell_angle_alpha 90.00
_cell_angle_beta 90.00
_cell_angle_gamma 90.00
loop_
_symmetry_equiv_pos_as_xyz
'x,y,z'
'-y,x,z'
'-x,-y,z'
'y,-x,z'
'x+1/2,y+1/2,z+1/2'
'-y+1/2,x+1/2,z+1/2'
'-x+1/2,-y+1/2,z+1/2'
'y+1/2,-x+1/2,z+1/2'
loop_
_atom_site_label
_atom_site_fract_x
_atom_site_fract_y
_atom_site_fract_z
Rb1 0.089 0.709 0.000
Sc1 0.000 0.000 0.481
Br1 0.000 0.000 0.865
Br2 0.083 0.738 0.490

---

[2]
# PBE RbScBr3, relaxed
# - formation energy (no corrections) (kJ/mol of atoms) = -151.9
# - Fermi-level density of states (states/eV/f.u.) = 0.00
data_RbScBr3
_chemical_formula_sum 'Rb2 Sc2 Br6'
_symmetry_space_group_name_H-M 'P -1'
_symmetry_Int_Tables_number 2
_cell_length_a 6.608
_cell_length_b 7.956
_cell_length_c 8.595
_cell_angle_alpha 115.55
_cell_angle_beta 100.11
_cell_angle_gamma 91.33
loop_
_symmetry_equiv_pos_as_xyz
'x,y,z'
'-x,-y,-z'
loop_
_atom_site_label
_atom_site_fract_x
_atom_site_fract_y
_atom_site_fract_z
Rb1 0.246 0.381 0.176
Sc1 0.218 0.086 0.560
Br1 0.000 0.009 0.239
Br2 0.234 0.445 0.793
Br3 0.445 0.802 0.549

---

[3]
# PBE RbScBr3, relaxed
# - formation energy (no corrections) (kJ/mol of atoms) = -116.4
# - Fermi-level density of states (states/eV/f.u.) = 0.00
data_RbScBr3
_chemical_formula_sum 'Rb1 Sc1 Br3'
_symmetry_space_group_name_H-M 'P 4 m m'
_symmetry_Int_Tables_number 99
_cell_length_a 4.980
_cell_length_b 4.980
_cell_length_c 8.451
_cell_angle_alpha 90.00
_cell_angle_beta 90.00
_cell_angle_gamma 90.00
loop_
_symmetry_equiv_pos_as_xyz
'x,y,z'
'-y,x,z'
'-x,-y,z'
'y,-x,z'
'-x,y,z'
'y,x,z'
'x,-y,z'
'-y,-x,z'
loop_
_atom_site_label
_atom_site_fract_x
_atom_site_fract_y
_atom_site_fract_z
Rb1 0.000 0.000 0.000
Sc1 0.500 0.500 0.413
Br1 0.000 0.000 0.620
Br2 0.000 0.500 0.274

---

[4]
# PBE RbScBr3, relaxed
# - formation energy (no corrections) (kJ/mol of atoms) = -150.1
# - Fermi-level density of states (states/eV/f.u.) = 2.83
data_RbScBr3
_chemical_formula_sum 'Rb4 Sc4 Br12'
_symmetry_space_group_name_H-M 'P n m a'
_symmetry_Int_Tables_number 62
_cell_length_a 7.728
_cell_length_b 10.923
_cell_length_c 7.684
_cell_angle_alpha 90.00
_cell_angle_beta 90.00
_cell_angle_gamma 90.00
loop_
_symmetry_equiv_pos_as_xyz
'x,y,z'
'-x,-y,-z'
'-x+1/2,-y,z+1/2'
'x+1/2,y,-z+1/2'
'x+1/2,-y+1/2,-z+1/2'
'-x+1/2,y+1/2,z+1/2'
'-x,y+1/2,-z'
'x,-y+1/2,z'
loop_
_atom_site_label
_atom_site_fract_x
_atom_site_fract_y
_atom_site_fract_z
Rb1 0.032 0.250 0.008
Sc1 0.000 0.000 0.500
Br1 0.001 0.750 0.457
Br2 0.220 0.522 0.781

---

| no. | final energy (eV/atom) |
| --- | --- |
| 1 | -3.275 |
| 2 | -4.038 |
| 3 | -3.670 |
| 4 | -4.020 |